No. 1
# SmC6

SmC6 at its PBEsol-relaxed geometry (SCAN, the Alexandria database).

## Properties
Formation energy in kJ/mol of formula units: -42
Size of the total moment in μB per formula unit: 0.001

The structure in POSCAR format:
```
SmC6
1.0
4.313 0.000 0.000
-2.156 3.735 0.000
0.000 0.000 4.621
Sm C
1 6
Cartesian
0.000 0.000 0.000 Sm
-0.718 1.244 2.310 C
-1.438 2.491 2.310 C
1.436 0.000 2.310 C
0.718 1.244 2.310 C
2.877 0.000 2.310 C
1.438 2.491 2.310 C
```

---

No. 2
# InAg2Pt2

InAg2Pt2 at its PBEsol-relaxed geometry (SCAN, the Alexandria database).

## Properties
Formation energy in kJ/mol of formula units: 32
Size of the total moment in μB per formula unit: 0.000
Excess energy over the best structure of this formula in the dataset in eV per formula unit: 0.00

The structure in POSCAR format:
```
InAg2Pt2
1.0
-1.840 1.840 6.693
1.840 -1.840 6.693
1.840 1.840 -6.693
In Ag Pt
1 2 2
Cartesian
0.000 0.000 0.000 In
1.840 0.000 3.347 Ag
0.000 1.840 3.347 Ag
0.000 0.000 5.394 Pt
0.000 0.000 7.992 Pt
```

---

No. 3
# FeHgPb2

FeHgPb2 at its PBEsol-relaxed geometry (SCAN, the Alexandria database).

## Properties
Formation energy in kJ/mol of formula units: 125
Size of the total moment in μB per formula unit: 2.540

The structure in POSCAR format:
```
FeHgPb2
1.0
1.724 0.995 8.869
-1.724 0.995 8.869
0.000 -1.991 8.869
Fe Hg Pb
1 1 2
Cartesian
0.000 0.000 0.000 Fe
0.000 0.000 13.304 Hg
0.000 0.000 7.001 Pb
0.000 0.000 19.607 Pb
```

---

No. 4
# LiCoPO4F

LiCoPO4F at its PBEsol-relaxed geometry (SCAN, the Alexandria database).

## Properties
Formation energy from raw total energies in meV/atom: -2284
Size of the total moment in μB per formula unit: 0.000

The structure in POSCAR format:
```
LiCoPO4F
1.0
5.048 0.000 0.000
-0.891 5.087 0.000
-2.062 -2.411 6.048
Li Co P O F
2 2 2 8 2
Cartesian
0.203 1.210 1.658 Li
1.891 1.466 4.390 Li
2.524 0.000 0.000 Co
1.493 -1.205 3.024 Co
-0.924 -0.036 4.492 P
3.018 2.711 1.556 P
-0.904 2.860 2.607 O
-1.342 1.296 5.170 O
-0.877 -1.200 5.495 O
0.442 0.186 3.766 O
1.653 2.489 2.282 O
2.972 3.875 0.552 O
3.437 1.380 0.878 O
2.999 -0.184 3.441 O
1.369 -0.282 1.429 F
0.726 2.958 4.619 F
```

---

No. 5
# SrY2As

SrY2As at its PBEsol-relaxed geometry (SCAN, the Alexandria database).

## Properties
Formation energy in kJ/mol of formula units: -7
Size of the total moment in μB per formula unit: 4.274

The structure in POSCAR format:
```
SrY2As
1.0
0.000 3.792 3.792
3.792 0.000 3.792
3.792 3.792 0.000
Sr Y As
1 2 1
Cartesian
0.000 0.000 0.000 Sr
3.792 3.792 3.792 Y
5.688 5.688 5.688 Y
1.896 1.896 1.896 As
```

---

No. 6
# ZnMo3

ZnMo3 at its PBEsol-relaxed geometry (SCAN, the Alexandria database).

## Properties
Formation energy in kJ/mol of formula units: 93
Size of the total moment in μB per formula unit: 0.000
Excess energy over the best structure of this formula in the dataset in eV per formula unit: 0.87

The structure in POSCAR format:
```
ZnMo3
1.0
2.606 0.000 0.000
0.000 2.606 0.000
0.000 0.000 8.826
Zn Mo
1 3
Cartesian
0.000 0.000 0.000 Zn
0.000 0.000 4.413 Mo
1.303 1.303 2.105 Mo
1.303 1.303 6.721 Mo
```

---

No. 7
# NdAl3Pb2O8

NdAl3Pb2O8 at its PBEsol-relaxed geometry (SCAN, the Alexandria database).

## Properties
Formation energy from raw total energies in meV/atom: -2813
Size of the total moment in μB per formula unit: 0.000

The structure in POSCAR format:
```
NdAl3Pb2O8
1.0
9.536 0.000 0.000
0.000 9.536 0.000
0.000 0.000 9.536
Nd Al Pb O
4 12 8 32
Cartesian
0.000 0.000 0.000 Nd
0.000 4.768 4.768 Nd
4.768 0.000 4.768 Nd
4.768 4.768 0.000 Nd
0.000 2.384 7.152 Al
0.000 7.152 2.384 Al
2.384 0.000 7.152 Al
2.384 4.768 7.152 Al
2.384 7.152 0.000 Al
2.384 7.152 4.768 Al
4.768 2.384 7.152 Al
4.768 7.152 2.384 Al
7.152 0.000 2.384 Al
7.152 2.384 0.000 Al
7.152 2.384 4.768 Al
7.152 4.768 2.384 Al
1.117 1.117 3.651 Pb
1.117 3.651 1.117 Pb
3.651 1.117 1.117 Pb
3.651 3.651 3.651 Pb
5.885 5.885 5.885 Pb
5.885 8.419 8.419 Pb
8.419 5.885 8.419 Pb
8.419 8.419 5.885 Pb
0.880 0.880 7.285 O
0.880 3.888 7.019 O
0.880 7.019 3.888 O
0.880 7.285 0.880 O
1.346 1.346 1.346 O
1.346 3.422 3.422 O
2.251 5.648 5.648 O
2.251 8.656 8.656 O
2.517 5.648 8.656 O
2.517 8.656 5.648 O
3.422 1.346 3.422 O
3.422 3.422 1.346 O
3.888 0.880 7.019 O
3.888 3.888 7.285 O
3.888 7.019 0.880 O
3.888 7.285 3.888 O
5.648 2.251 5.648 O
5.648 2.517 8.656 O
5.648 5.648 2.251 O
5.648 8.656 2.517 O
6.114 6.114 8.190 O
6.114 8.190 6.114 O
7.019 0.880 3.888 O
7.019 3.888 0.880 O
7.285 0.880 0.880 O
7.285 3.888 3.888 O
8.190 6.114 6.114 O
8.190 8.190 8.190 O
8.656 2.251 8.656 O
8.656 2.517 5.648 O
8.656 5.648 2.517 O
8.656 8.656 2.251 O
```

---

No. 8
# CaZnPb

CaZnPb at its PBEsol-relaxed geometry (SCAN, the Alexandria database).

## Properties
Formation energy in kJ/mol of formula units: -141
Size of the total moment in μB per formula unit: 0.000

The structure in POSCAR format:
```
CaZnPb
1.0
4.687 0.000 0.000
-2.344 4.059 0.000
0.000 0.000 15.367
Ca Zn Pb
4 4 4
Cartesian
0.000 0.000 0.000 Ca
0.000 0.000 3.842 Ca
0.000 0.000 7.684 Ca
0.000 0.000 11.525 Ca
0.000 2.706 2.398 Zn
0.000 2.706 5.286 Zn
2.344 1.353 10.082 Zn
2.344 1.353 12.969 Zn
0.000 2.706 9.432 Pb
0.000 2.706 13.619 Pb
2.344 1.353 1.748 Pb
2.344 1.353 5.936 Pb
```